Compound: ZrBe2Ag
Source: the Alexandria database
Functional: GGA-PBE
Structure: relaxed

It has space group Fm-3m (No. 225), with a = 6.092 Å, b = 6.092 Å, c = 6.092 Å, α = 90.00°, β = 90.00° and γ = 90.00°. The asymmetric unit holds Zr at (0.000, 0.000, 0.000), Be at (0.250, 0.250, 0.250) and Ag at (0.000, 0.000, 0.500).

The distance to the lowest polymorph of the same formula comes out at 27 meV/atom. The calculated formation energy is 40 meV per atom. The calculated volume comes out at 226.0 Å³ per cell. The value obtained for the density is 6.4 g/cm3.


Compound: Ho4CuHg2
Source: the Alexandria database
Functional: GGA-PBE
Structure: relaxed

It has space group R-3m (No. 166, hexagonal axes), with a = 5.0869 Å, b = 5.0869 Å, c = 24.9345 Å, α = 90.00°, β = 90.00° and γ = 120.00°. The asymmetric unit holds Ho at (0.0000, 0.0000, 0.1225), Ho at (0.0000, 0.0000, 0.3727), Cu at (0.0000, 0.0000, 0.0000) and Hg at (0.0000, 0.0000, 0.2466).

The calculated formation energy is -242 meV per atom. The calculated volume comes out at 558.8 Å³ per cell. The value obtained for the density is 10.0 g/cm3.


Compound: Al2PdAu3
Source: the Alexandria database
Functional: GGA-PBE
Structure: relaxed

It has space group R-3c (No. 167, hexagonal axes), with a = 6.4282 Å, b = 6.4282 Å, c = 18.4282 Å, α = 90.00°, β = 90.00° and γ = 120.00°. The asymmetric unit holds Al at (0.0000, 0.0000, 0.1375), Pd at (0.0000, 0.0000, 0.0000) and Au at (0.0000, 0.2631, 0.2500).

The distance to the lowest polymorph of the same formula comes out at 125 meV/atom. The calculated formation energy is -272 meV per atom. The calculated volume comes out at 659.5 Å³ per cell. The value obtained for the density is 11.4 g/cm3.


Compound: Ac6Sb3Te2As
Source: the Alexandria database
Functional: GGA-PBE
Structure: relaxed

It has space group C2/m (No. 12), with a = 8.234 Å, b = 14.254 Å, c = 8.169 Å, α = 90.00°, β = 109.61° and γ = 90.00°. The asymmetric unit holds Ac at (0.234, 0.000, 0.248), Ac at (0.242, 0.159, 0.749), Sb at (0.000, 0.172, 0.000), Sb at (0.000, 0.500, 0.000), Te at (0.000, 0.334, 0.500) and As at (0.000, 0.000, 0.500).

The calculated volume comes out at 903.1 Å³ per cell. For the formation energy (no corrections), the calculation gives -1.396 eV/atom. The value obtained for the density is 7.6 g/cm3.


Compound: Pm4SiTe2Cl
Source: the Alexandria database
Functional: GGA-PBE
Structure: relaxed

It has space group P2/m (No. 10), with a = 7.392 Å, b = 4.291 Å, c = 7.647 Å, α = 90.00°, β = 108.96° and γ = 90.00°. The asymmetric unit holds Pm at (0.228, 0.000, 0.219), Pm at (0.244, 0.500, 0.777), Si at (0.000, 0.500, 0.000), Te at (0.000, 0.000, 0.500), Te at (0.500, 0.500, 0.500) and Cl at (0.500, 0.000, 0.000).

The calculated volume comes out at 229.4 Å³ per cell. For the formation energy (no corrections), the calculation gives -1.302 eV/atom. The value obtained for the density is 6.5 g/cm3.


Compound: Ce12InHg6
Source: the Alexandria database
Functional: GGA-PBE
Structure: relaxed

It has space group R-3 (No. 148, hexagonal axes), with a = 11.0140 Å, b = 11.0140 Å, c = 14.4544 Å, α = 90.00°, β = 90.00° and γ = 120.00°. The asymmetric unit holds Ce at (0.0543, 0.8851, 0.3029), Ce at (0.0573, 0.2126, 0.9395), In at (0.0000, 0.0000, 0.5000) and Hg at (0.0313, 0.6045, 0.1960).

The calculated formation energy is -149 meV per atom. The calculated volume comes out at 1518.5 Å³ per cell. The value obtained for the density is 9.8 g/cm3.